No. 1
VASP calculation (meta-GGA SCAN) on MgTa2Hg at its PBEsol-relaxed geometry.

Cell lengths 2.877, 4.572, 5.537 Å; angles 90.00, 90.00, 90.00 degrees
Atoms (fractional coordinates):
Mg 0.000 0.000 0.000
Ta 0.500 0.500 0.245
Ta 0.500 0.500 0.755
Hg 0.000 0.000 0.500

Results
Distance to the lowest polymorph of the same formula, meV/atom: 132
Formation energy, meV per atom: 250
Total energy, Ry per atom: -3.772
Symmetry: Pmmm

No. 2
VASP calculation (meta-GGA SCAN) on MgTa2Hg at its PBEsol-relaxed geometry.

Cell lengths 5.220, 5.220, 5.220 Å; angles 133.76, 133.76, 67.46 degrees
Atoms (fractional coordinates):
Mg 0.000 0.000 0.000
Ta 0.500 0.500 0.000
Ta 0.750 0.250 0.500
Hg 0.250 0.750 0.500

Results
Distance to the lowest polymorph of the same formula, meV/atom: 207
Formation energy, meV per atom: 325
Total energy, Ry per atom: -3.767
Symmetry: I-4m2

No. 3
VASP calculation (meta-GGA SCAN) on MgTa2Hg at its PBEsol-relaxed geometry.

Cell lengths 5.094, 5.094, 5.365 Å; angles 98.91, 98.91, 32.94 degrees
Atoms (fractional coordinates):
Mg 0.000 0.000 0.000
Ta 0.236 0.236 0.689
Ta 0.499 0.499 0.515
Hg 0.753 0.753 0.200

Results
Distance to the lowest polymorph of the same formula, meV/atom: 149
Formation energy, meV per atom: 266
Total energy, Ry per atom: -3.771
Symmetry: Cm

No. 4
VASP calculation (meta-GGA SCAN) on TbMgHg2 at its PBEsol-relaxed geometry.

Cell lengths 5.000, 5.000, 5.000 Å; angles 60.00, 60.00, 60.00 degrees
Atoms (fractional coordinates):
Tb 0.000 0.000 0.000
Mg 0.500 0.500 0.500
Hg 0.250 0.250 0.250
Hg 0.750 0.750 0.750

Results
Formation energy, meV per atom: -659
Total energy, Ry per atom: -3.504
Symmetry: Fm-3m

No. 5
VASP calculation (meta-GGA SCAN) on MgTc2Hg at its PBEsol-relaxed geometry.

Cell lengths 3.428, 3.428, 5.559 Å; angles 90.00, 90.00, 90.00 degrees
Atoms (fractional coordinates):
Mg 0.000 0.000 0.000
Tc 0.500 0.500 0.210
Tc 0.500 0.500 0.790
Hg 0.000 0.000 0.500

Results
Distance to the lowest polymorph of the same formula, meV/atom: 185
Formation energy, meV per atom: 498
Total energy, Ry per atom: -2.596
Symmetry: P4/mmm

No. 6
VASP calculation (meta-GGA SCAN) on MgTcHg at its PBEsol-relaxed geometry.

Cell lengths 4.361, 4.361, 4.361 Å; angles 60.00, 60.00, 60.00 degrees
Atoms (fractional coordinates):
Mg 0.000 0.000 0.000
Tc 0.250 0.250 0.250
Hg 0.750 0.750 0.750

Results
Formation energy, meV per atom: 819
Total energy, Ry per atom: -2.591
Symmetry: F-43m

No. 7
VASP calculation (meta-GGA SCAN) on MgTc2Hg at its PBEsol-relaxed geometry.

Cell lengths 5.083, 5.083, 4.487 Å; angles 101.72, 101.72, 34.79 degrees
Atoms (fractional coordinates):
Mg 0.000 0.000 0.000
Tc 0.249 0.249 0.776
Tc 0.751 0.751 0.224
Hg 0.500 0.500 0.500

Results
Distance to the lowest polymorph of the same formula, meV/atom: 0
Formation energy, meV per atom: 313
Total energy, Ry per atom: -2.609
Symmetry: C2/m

No. 8
VASP calculation (meta-GGA SCAN) on MgHgTe2 at its PBEsol-relaxed geometry.

Cell lengths 7.955, 7.955, 7.955 Å; angles 132.07, 132.07, 70.12 degrees
Atoms (fractional coordinates):
Mg 0.000 0.000 0.000
Mg 0.750 0.250 0.500
Hg 0.250 0.750 0.500
Hg 0.500 0.500 0.000
Te 0.120 0.625 0.995
Te 0.375 0.370 0.495
Te 0.630 0.125 0.005
Te 0.875 0.880 0.505

Results
Raw formation energy, eV per atom: -0.563
Distance to the lowest polymorph of the same formula, meV/atom: 0
Total energy, Ry per atom: -2.754
Symmetry: I-42d

No. 9
VASP calculation (meta-GGA SCAN) on Mg2HgTe2 at its PBEsol-relaxed geometry.

Cell lengths 7.813, 7.813, 7.813 Å; angles 144.99, 144.99, 50.35 degrees
Atoms (fractional coordinates):
Mg 0.250 0.750 0.500
Mg 0.750 0.250 0.500
Hg 0.000 0.000 0.000
Te 0.362 0.362 0.000
Te 0.638 0.638 0.000

Results
Raw formation energy, eV per atom: -0.673
Total energy, Ry per atom: -2.293
Symmetry: I4/mmm

No. 10
VASP calculation (meta-GGA SCAN) on MgHgTe2 at its PBEsol-relaxed geometry.

Cell lengths 3.897, 3.897, 6.784 Å; angles 90.00, 90.00, 90.00 degrees
Atoms (fractional coordinates):
Mg 0.000 0.000 0.000
Hg 0.000 0.000 0.500
Te 0.500 0.500 0.223
Te 0.500 0.500 0.777

Results
Raw formation energy, eV per atom: -0.163
Distance to the lowest polymorph of the same formula, meV/atom: 400
Total energy, Ry per atom: -2.725
Symmetry: P4/mmm

No. 11
VASP calculation (meta-GGA SCAN) on MgHg4Te5 at its PBEsol-relaxed geometry.

Cell lengths 16.526, 16.526, 16.526 Å; angles 163.99, 163.99, 22.72 degrees
Atoms (fractional coordinates):
Mg 0.000 0.000 0.000
Hg 0.200 0.200 0.000
Hg 0.401 0.401 0.000
Hg 0.599 0.599 0.000
Hg 0.800 0.800 0.000
Te 0.049 0.549 0.500
Te 0.250 0.750 0.500
Te 0.451 0.951 0.500
Te 0.649 0.149 0.500
Te 0.851 0.351 0.500

Results
Raw formation energy, eV per atom: -0.325
Total energy, Ry per atom: -3.433
Symmetry: I-4m2

No. 12
VASP calculation (meta-GGA SCAN) on Mg2HgTe at its PBEsol-relaxed geometry.

Cell lengths 4.058, 4.058, 6.011 Å; angles 90.00, 90.00, 90.00 degrees
Atoms (fractional coordinates):
Mg 0.000 0.000 0.000
Mg 0.500 0.500 0.427
Hg 0.500 0.500 0.945
Te 0.000 0.000 0.497

Results
Raw formation energy, eV per atom: -0.397
Distance to the lowest polymorph of the same formula, meV/atom: 70
Total energy, Ry per atom: -2.149
Symmetry: P4mm

No. 13
VASP calculation (meta-GGA SCAN) on MgHgTe2 at its PBEsol-relaxed geometry.

Cell lengths 6.173, 6.173, 6.173 Å; angles 144.30, 130.12, 62.84 degrees
Atoms (fractional coordinates):
Mg 0.000 0.000 0.000
Hg 0.500 0.500 0.000
Te 0.214 0.714 0.500
Te 0.786 0.286 0.500

Results
Raw formation energy, eV per atom: -0.120
Distance to the lowest polymorph of the same formula, meV/atom: 443
Total energy, Ry per atom: -2.722
Symmetry: Immm

No. 14
VASP calculation (meta-GGA SCAN) on Mg2HgTe at its PBEsol-relaxed geometry.

Cell lengths 6.816, 6.816, 6.816 Å; angles 36.29, 36.29, 36.29 degrees
Atoms (fractional coordinates):
Mg 0.244 0.244 0.244
Mg 0.756 0.756 0.756
Hg 0.500 0.500 0.500
Te 0.000 0.000 0.000

Results
Raw formation energy, eV per atom: -0.466
Distance to the lowest polymorph of the same formula, meV/atom: 0
Total energy, Ry per atom: -2.154
Symmetry: R-3m

No. 15
VASP calculation (meta-GGA SCAN) on MgHgTe2 at its PBEsol-relaxed geometry.

Cell lengths 4.890, 3.834, 5.701 Å; angles 90.00, 101.56, 90.00 degrees
Atoms (fractional coordinates):
Mg 0.000 0.000 0.000
Hg 0.500 0.500 0.000
Te 0.000 0.500 0.500
Te 0.500 0.000 0.500

Results
Raw formation energy, eV per atom: -0.035
Distance to the lowest polymorph of the same formula, meV/atom: 528
Total energy, Ry per atom: -2.715
Symmetry: P2/m

No. 16
VASP calculation (meta-GGA SCAN) on MgHgTe2 at its PBEsol-relaxed geometry.

Cell lengths 5.234, 5.234, 5.234 Å; angles 60.00, 60.00, 60.00 degrees
Atoms (fractional coordinates):
Mg 0.000 0.000 0.000
Hg 0.500 0.500 0.500
Te 0.250 0.250 0.250
Te 0.750 0.750 0.750

Results
Raw formation energy, eV per atom: -0.018
Distance to the lowest polymorph of the same formula, meV/atom: 545
Total energy, Ry per atom: -2.714
Symmetry: Fm-3m

No. 17
VASP calculation (meta-GGA SCAN) on MgTlHg2 at its PBEsol-relaxed geometry.

Cell lengths 5.460, 5.460, 5.460 Å; angles 129.63, 129.63, 74.00 degrees
Atoms (fractional coordinates):
Mg 0.000 0.000 0.000
Tl 0.500 0.500 0.000
Hg 0.250 0.750 0.500
Hg 0.750 0.250 0.500

Results
Formation energy, meV per atom: -69
Total energy, Ry per atom: -3.931
Symmetry: I4/mmm

No. 18
VASP calculation (meta-GGA SCAN) on MgTlHg2 at its PBEsol-relaxed geometry.

Cell lengths 5.771, 5.771, 5.771 Å; angles 135.28, 135.28, 65.09 degrees
Atoms (fractional coordinates):
Mg 0.000 0.000 0.000
Tl 0.750 0.250 0.500
Hg 0.250 0.750 0.500
Hg 0.500 0.500 0.000

Results
Formation energy, meV per atom: -69
Total energy, Ry per atom: -3.931
Symmetry: I-4m2

No. 19
VASP calculation (meta-GGA SCAN) on MgTlHg2 at its PBEsol-relaxed geometry.

Cell lengths 3.325, 3.325, 8.410 Å; angles 90.00, 90.00, 90.00 degrees
Atoms (fractional coordinates):
Mg 0.000 0.000 0.000
Tl 0.000 0.000 0.500
Hg 0.500 0.500 0.217
Hg 0.500 0.500 0.783

Results
Formation energy, meV per atom: -150
Total energy, Ry per atom: -3.937
Symmetry: P4/mmm

No. 20
VASP calculation (meta-GGA SCAN) on MgTlHg2 at its PBEsol-relaxed geometry.

Cell lengths 3.739, 3.739, 6.732 Å; angles 90.00, 90.00, 90.00 degrees
Atoms (fractional coordinates):
Mg 0.000 0.000 0.000
Tl 0.500 0.500 0.279
Hg 0.000 0.000 0.543
Hg 0.500 0.500 0.794

Results
Formation energy, meV per atom: -71
Total energy, Ry per atom: -3.931
Symmetry: P4mm